(1)
The following is a PBE-GGA calculation of a geometry-optimized Ni2S structure, from Alexandria via LeMat-Bulk.

The space group is Cmc2_1 (No. 36) and the conventional cell measures 3.289, 11.781 and 4.092 Å, with angles of 90.00, 90.00 and 90.00 degrees. The distinct sites, in fractional coordinates, are Ni at (0.000, 0.064, 0.000), Ni at (0.000, 0.280, 0.785) and S at (0.000, 0.123, 0.497).

The value obtained for the uncorrected formation energy is -0.78 eV per formula unit. For the calculated total energy, the calculation gives -16.47 eV per formula unit. Its crystal system is orthorhombic.

(2)
The following is a PBE-GGA calculation of a geometry-optimized LaY2AlC structure, from Alexandria via LeMat-Bulk.

The space group is P4/mmm (No. 123) and the conventional cell measures 4.939, 4.939 and 5.140 Å, with angles of 90.00, 90.00 and 90.00 degrees. The distinct sites, in fractional coordinates, are La at (0.000, 0.000, 0.000), Y at (0.000, 0.500, 0.500), Al at (0.500, 0.500, 0.000) and C at (0.000, 0.000, 0.500).

For the calculated total energy, the calculation gives -32.37 eV per formula unit. Its crystal system is tetragonal. The calculation puts the energy of formation from the pure elements at -0.309 eV per atom.

(3)
The following is a PBE-GGA calculation of a geometry-optimized Al6Zn2Tc structure, from Alexandria via LeMat-Bulk.

The space group is C2/m (No. 12) and the conventional cell measures 8.181, 4.829 and 7.229 Å, with angles of 90.00, 99.84 and 90.00 degrees. The distinct sites, in fractional coordinates, are Al at (0.108, 0.000, 0.170), Al at (0.167, 0.500, 0.503), Al at (0.214, 0.000, 0.825), Zn at (0.053, 0.500, 0.831) and Tc at (0.000, 0.000, 0.500).

Its polymorph energy (0 for the lowest one) is 0 meV/atom. For the calculated total energy, the calculation gives -35.98 eV per formula unit. Its crystal system is monoclinic. The calculation puts the energy of formation from the pure elements at -0.068 eV per atom.

(4)
The following is a PBE-GGA calculation of a geometry-optimized P2PbS2 structure, from Alexandria via LeMat-Bulk.

The space group is P4/mmm (No. 123) and the conventional cell measures 4.887, 4.887 and 4.574 Å, with angles of 90.00, 90.00 and 90.00 degrees. The distinct sites, in fractional coordinates, are P at (0.000, 0.000, 0.000), P at (0.000, 0.000, 0.500), Pb at (0.500, 0.500, 0.000) and S at (0.000, 0.500, 0.500).

Its polymorph energy (0 for the lowest one) is 0 meV/atom. The value obtained for the uncorrected formation energy is 1.46 eV per formula unit. For the calculated total energy, the calculation gives -21.32 eV per formula unit. Its crystal system is tetragonal.

(5)
The following is a PBE-GGA calculation of a geometry-optimized Re2Se structure, from Alexandria via LeMat-Bulk.

The space group is Fd-3m (No. 227, origin choice 2) and the conventional cell measures 7.456, 7.456 and 7.456 Å, with angles of 90.00, 90.00 and 90.00 degrees. The distinct sites, in fractional coordinates, are Re at (0.000, 0.000, 0.000) and Se at (0.125, 0.125, 0.625).

Its polymorph energy (0 for the lowest one) is 1080 meV/atom. The value obtained for the uncorrected formation energy is 3.45 eV per formula unit. For the calculated total energy, the calculation gives -24.93 eV per formula unit. Its crystal system is cubic.

(6)
The following is a PBE-GGA calculation of a geometry-optimized AcPt6Au6 structure, from Alexandria via LeMat-Bulk.

The space group is Immm (No. 71) and the conventional cell measures 5.556, 9.350 and 9.401 Å, with angles of 90.00, 90.00 and 90.00 degrees. The distinct sites, in fractional coordinates, are Ac at (0.000, 0.000, 0.000), Pt at (0.000, 0.269, 0.500), Pt at (0.250, 0.250, 0.250), Au at (0.000, 0.000, 0.348), Au at (0.000, 0.341, 0.000) and Au at (0.000, 0.500, 0.298).

For the calculated total energy, the calculation gives -63.89 eV per formula unit. Its crystal system is orthorhombic. The calculation puts the energy of formation from the pure elements at -0.298 eV per atom.

(7)
The following is a PBE-GGA calculation of a geometry-optimized TaTl2Cd structure, from Alexandria via LeMat-Bulk.

The space group is R-3m (No. 166, hexagonal axes) and the conventional cell measures 3.2225, 3.2225 and 30.4164 Å, with angles of 90.00, 90.00 and 120.00 degrees. The distinct sites, in fractional coordinates, are Ta at (0.0000, 0.0000, 0.0000), Tl at (0.0000, 0.0000, 0.2526) and Cd at (0.0000, 0.0000, 0.5000).

Its polymorph energy (0 for the lowest one) is 34 meV/atom. For the calculated total energy, the calculation gives -15.80 eV per formula unit. Its crystal system is trigonal. The calculation puts the energy of formation from the pure elements at 0.425 eV per atom.

(8)
The following is a PBE-GGA calculation of a geometry-optimized MnZn2Br structure, from Alexandria via LeMat-Bulk.

The space group is Cm (No. 8) and the conventional cell measures 8.494, 3.424 and 6.389 Å, with angles of 90.00, 97.32 and 90.00 degrees. The distinct sites, in fractional coordinates, are Mn at (0.000, 0.000, 0.000), Zn at (0.055, 0.500, 0.711), Zn at (0.276, 0.000, 0.836) and Br at (0.061, 0.500, 0.303).

Its polymorph energy (0 for the lowest one) is 0 meV/atom. The value obtained for the uncorrected formation energy is 0.18 eV per formula unit. For the calculated total energy, the calculation gives -13.21 eV per formula unit. Its crystal system is monoclinic.

(9)
The following is a PBE-GGA calculation of a geometry-optimized La2AlCr structure, from Alexandria via LeMat-Bulk.

The space group is F-43m (No. 216) and the conventional cell measures 7.276, 7.276 and 7.276 Å, with angles of 90.00, 90.00 and 90.00 degrees. The distinct sites, in fractional coordinates, are La at (0.000, 0.000, 0.000), La at (0.250, 0.250, 0.250), Al at (0.250, 0.250, 0.750) and Cr at (0.000, 0.000, 0.500).

For the calculated total energy, the calculation gives -22.62 eV per formula unit. Its crystal system is cubic. The calculation puts the energy of formation from the pure elements at 0.150 eV per atom.

(10)
The following is a PBE-GGA calculation of a geometry-optimized Ce3Ga2H structure, from Alexandria via LeMat-Bulk.

The space group is Cmcm (No. 63) and the conventional cell measures 9.265, 8.773 and 6.590 Å, with angles of 90.00, 90.00 and 90.00 degrees. The distinct sites, in fractional coordinates, are Ce at (0.000, 0.141, 0.250), Ce at (0.168, 0.500, 0.000), Ga at (0.136, 0.200, 0.750) and H at (0.000, 0.407, 0.250).

For the calculated total energy, the calculation gives -29.18 eV per formula unit. Its crystal system is orthorhombic.

(11)
The following is a PBE-GGA calculation of a geometry-optimized Be8Cu3Ni structure, from Alexandria via LeMat-Bulk.

The space group is P3m1 (No. 156) and the conventional cell measures 4.2379, 4.2379 and 6.8185 Å, with angles of 90.00, 90.00 and 120.00 degrees. The distinct sites, in fractional coordinates, are Be at (0.0000, 0.0000, 0.0000), Be at (0.0000, 0.0000, 0.5002), Be at (0.1680, 0.3361, 0.2449), Be at (0.3385, 0.1693, 0.7526), Cu at (0.3333, 0.6667, 0.5559), Cu at (0.3333, 0.6667, 0.9398), Cu at (0.6667, 0.3333, 0.4391) and Ni at (0.6667, 0.3333, 0.0541).

For the calculated total energy, the calculation gives -50.09 eV per formula unit. Its crystal system is trigonal. The calculation puts the energy of formation from the pure elements at -0.184 eV per atom.

(12)
The following is a PBE-GGA calculation of a geometry-optimized La2PmIO4 structure, from Alexandria via LeMat-Bulk.

The space group is P4/mmm (No. 123) and the conventional cell measures 4.114, 4.114 and 9.822 Å, with angles of 90.00, 90.00 and 90.00 degrees. The distinct sites, in fractional coordinates, are La at (0.000, 0.000, 0.250), Pm at (0.500, 0.500, 0.000), I at (0.500, 0.500, 0.500) and O at (0.000, 0.500, 0.145).

The value obtained for the uncorrected formation energy is -25.36 eV per formula unit. For the calculated total energy, the calculation gives -61.35 eV per formula unit. Its crystal system is tetragonal.

(13)
The following is a PBE-GGA calculation of a geometry-optimized Cd2PH2 structure, from Alexandria via LeMat-Bulk.

The space group is Fddd (No. 70, origin choice 2) and the conventional cell measures 3.030, 7.753 and 30.516 Å, with angles of 90.00, 90.00 and 90.00 degrees. The distinct sites, in fractional coordinates, are Cd at (0.125, 0.125, 0.320), P at (0.125, 0.125, 0.125) and H at (0.125, 0.125, 0.467).

Its polymorph energy (0 for the lowest one) is 0 meV/atom. For the calculated total energy, the calculation gives -12.56 eV per formula unit. Its crystal system is orthorhombic.

(14)
The following is a PBE-GGA calculation of a geometry-optimized VSb3I structure, from Alexandria via LeMat-Bulk.

The space group is Pm-3m (No. 221) and the conventional cell measures 5.171, 5.171 and 5.171 Å, with angles of 90.00, 90.00 and 90.00 degrees. The distinct sites, in fractional coordinates, are V at (0.000, 0.000, 0.000), Sb at (0.000, 0.000, 0.500) and I at (0.500, 0.500, 0.500).

Its polymorph energy (0 for the lowest one) is 0 meV/atom. The value obtained for the uncorrected formation energy is 0.70 eV per formula unit. For the calculated total energy, the calculation gives -22.34 eV per formula unit. Its crystal system is cubic.

(15)
The following is a PBE-GGA calculation of a geometry-optimized Li8Sb2O structure, from Alexandria via LeMat-Bulk.

The space group is C2/m (No. 12) and the conventional cell measures 15.813, 4.559 and 5.409 Å, with angles of 90.00, 109.95 and 90.00 degrees. The distinct sites, in fractional coordinates, are Li at (0.000, 0.000, 0.232), Li at (0.097, 0.500, 0.860), Li at (0.098, 0.500, 0.332), Li at (0.229, 0.000, 0.227), Sb at (0.157, 0.000, 0.657) and O at (0.000, 0.500, 0.000).

The value obtained for the uncorrected formation energy is -9.29 eV per formula unit. For the calculated total energy, the calculation gives -37.80 eV per formula unit. Its crystal system is monoclinic.

(16)
The following is a PBE-GGA calculation of a geometry-optimized ScMoPb structure, from Alexandria via LeMat-Bulk.

The space group is P-6m2 (No. 187) and the conventional cell measures 4.9224, 4.9224 and 2.9882 Å, with angles of 90.00, 90.00 and 120.00 degrees. The distinct sites, in fractional coordinates, are Sc at (0.0000, 0.0000, 0.0000), Mo at (0.6667, 0.3333, 0.5000) and Pb at (0.3333, 0.6667, 0.5000).

Its polymorph energy (0 for the lowest one) is 182 meV/atom. For the calculated total energy, the calculation gives -19.99 eV per formula unit. Its crystal system is hexagonal. The calculation puts the energy of formation from the pure elements at 0.295 eV per atom.